Entry from Alexandria via LeMat-Bulk: an optimized crystal structure of Er8Tm6In (GGA-PBE).

Unit cell a=8.8619 b=8.8619 c=19.8937 alpha=90.00 beta=90.00 gamma=120.00
Space group R-3 (No. 148, hexagonal axes)
Unique sites:
Er  0.0000  0.0000  0.0758
Er  0.0820  0.5249  0.3093
Tm  0.0655  0.8123  0.2044
In  0.0000  0.0000  0.5000

Summary:
- total moment (μB per formula unit) = 0.0
- calculated formation energy (eV/atom) = 0.03
- distance to the lowest polymorph of the same formula (eV/f.u.) = 0.00